Record 1
Below is crystalline TlAg2GeS4 at its relaxed geometry, with properties calculated at the PBE level.

POSCAR file:
```
TlAg2GeS4
1.0
-0.578 -6.725 -0.126
4.386 -3.717 -2.608
1.245 -3.590 5.041
Tl Ag Ge S
1 2 1 4
Cartesian
0.000 0.000 0.000
3.322 -7.048 -0.784
1.730 -6.984 3.092
2.815 -3.653 1.217
3.076 -9.165 2.779
1.018 -4.827 1.862
1.623 -8.978 -0.548
4.388 -5.092 0.523
```

Results
ΔE_f (raw) ... -0.229 eV/atom
Final energy ... -31.026 eV/cell
SG ... No. 23

---

Record 2
Below is crystalline TlAgGe2S6 at its relaxed geometry, with properties calculated at the PBE level.

POSCAR file:
```
TlAgGe2S6
1.0
6.376 0.252 0.261
2.344 9.007 -0.091
2.344 -0.424 8.998
Tl Ag Ge S
2 2 4 12
Cartesian
3.938 7.354 1.629
7.125 1.481 7.540
3.938 2.676 6.136
7.125 6.158 3.032
4.593 6.889 5.704
3.282 3.264 1.942
6.470 1.945 3.465
7.781 5.570 7.226
4.878 8.365 7.309
2.997 1.715 0.408
6.185 0.470 1.860
8.066 7.119 8.760
5.414 7.741 3.768
2.462 5.230 1.163
5.650 1.094 5.400
8.601 3.605 8.006
8.957 6.275 5.399
5.294 3.798 2.829
2.106 2.560 3.769
5.769 5.037 6.340
```

Results
ΔE_f (raw) ... -0.192 eV/atom
Final energy ... -82.281 eV/cell
SG ... No. 15

---

Record 3
Below is crystalline TmAgGe2S6 at its relaxed geometry, with properties calculated at the PBE level.

POSCAR file:
```
TmAgGe2S6
1.0
6.635 -0.061 -0.063
2.044 8.373 0.296
2.044 -0.015 8.378
Tm Ag Ge S
2 2 4 12
Cartesian
3.703 7.324 1.276
7.020 0.973 7.335
3.703 2.128 6.284
7.020 6.170 2.327
4.473 6.461 5.436
2.933 3.135 1.985
6.250 1.837 3.175
7.790 5.163 6.626
4.600 7.938 7.130
2.806 1.497 0.446
6.123 0.360 1.481
7.917 6.801 8.165
5.160 7.373 3.522
2.246 5.081 1.145
5.563 0.925 5.089
8.477 3.216 7.466
9.006 5.774 4.823
5.034 3.662 2.630
1.717 2.523 3.788
5.689 4.636 5.981
```

Results
ΔE_f (raw) ... -0.667 eV/atom
Final energy ... -95.982 eV/cell
SG ... No. 15

---

Record 4
Below is crystalline Tm3Ag3GeS8 at its relaxed geometry, with properties calculated at the PBE level.

POSCAR file:
```
Tm3Ag3GeS8
1.0
7.765 0.000 0.000
-3.883 6.722 -0.041
0.000 -4.477 6.332
Tm Ag Ge S
3 3 1 8
Cartesian
3.883 -2.238 3.166
1.941 1.122 3.145
-1.941 1.122 3.145
0.000 0.000 0.000
-1.941 3.361 -0.020
1.941 3.361 -0.020
0.000 -2.238 3.166
0.000 2.234 1.689
3.883 0.011 4.602
3.883 2.427 1.728
0.000 -0.182 4.563
5.989 -1.222 1.749
-2.107 3.467 4.542
1.776 -1.222 1.749
2.107 3.467 4.542
```

Results
ΔE_f (raw) ... -1.033 eV/atom
Final energy ... -75.100 eV/cell
SG ... No. 12

---

Record 5
Below is crystalline TmAgGeS4 at its relaxed geometry, with properties calculated at the PBE level.

POSCAR file:
```
TmAgGeS4
1.0
-2.596 -4.392 -5.318
4.687 -5.036 -3.235
-1.140 -7.359 1.529
Tm Ag Ge S
2 2 2 8
Cartesian
0.000 0.000 0.000
1.774 -6.198 -0.853
-1.868 -5.876 -1.894
-0.570 -3.680 0.764
1.064 -6.681 -5.214
-0.111 -10.107 -1.810
0.708 -12.616 -5.244
1.979 -10.385 -2.600
-1.027 -6.402 -4.423
0.245 -4.172 -1.780
2.542 -6.693 -3.411
1.264 -8.855 -6.029
-0.312 -7.932 -0.995
-1.590 -10.094 -3.612
```

Results
ΔE_f (raw) ... -0.776 eV/atom
Final energy ... -67.769 eV/cell
SG ... No. 74

---

Record 6
Below is crystalline Tm2Ag3GeS6 at its relaxed geometry, with properties calculated at the PBE level.

POSCAR file:
```
Tm2Ag3GeS6
1.0
-3.067 2.315 -0.110
-1.368 -2.144 -6.970
-3.101 -7.071 4.849
Tm Ag Ge S
2 3 1 6
Cartesian
-5.550 -4.232 -1.470
-1.986 -2.668 -0.762
-2.217 0.085 -3.540
-4.572 -2.776 1.900
-2.964 -4.124 -4.131
-1.534 1.157 -0.055
-4.511 -6.124 -3.084
-3.991 -2.215 -2.489
-3.025 -0.776 0.853
-0.413 -0.627 -1.676
-7.122 -6.273 -0.555
-3.545 -4.685 0.257
```

Results
ΔE_f (raw) ... -0.876 eV/atom
Final energy ... -57.395 eV/cell
SG ... No. 12

---

Record 7
Below is crystalline YAgGe2S6 at its relaxed geometry, with properties calculated at the PBE level.

POSCAR file:
```
YAgGe2S6
1.0
6.681 -0.034 -0.035
2.093 8.426 0.287
2.093 -0.025 8.431
Y Ag Ge S
2 2 4 12
Cartesian
3.763 7.349 1.308
7.103 1.018 7.375
3.763 2.125 6.342
7.103 6.242 2.341
4.601 6.489 5.479
2.925 3.150 2.013
6.265 1.878 3.205
7.941 5.217 6.670
4.717 7.969 7.165
2.809 1.520 0.471
6.149 0.398 1.519
8.057 6.847 8.212
5.270 7.423 3.569
2.255 5.092 1.150
5.595 0.944 5.114
8.611 3.275 7.533
9.184 5.816 4.880
5.022 3.689 2.673
1.681 2.551 3.803
5.844 4.678 6.010
```

Results
ΔE_f (raw) ... -0.671 eV/atom
Final energy ... -100.052 eV/cell
SG ... No. 15

---

Record 8
Below is crystalline Y3Ag3GeS8 at its relaxed geometry, with properties calculated at the PBE level.

POSCAR file:
```
Y3Ag3GeS8
1.0
7.880 0.000 0.000
-3.940 6.821 -0.037
0.000 -4.540 6.285
Y Ag Ge S
3 3 1 8
Cartesian
3.940 -2.270 3.142
1.970 1.141 3.124
-1.970 1.141 3.124
0.000 0.000 0.000
-1.970 3.411 -0.018
1.970 3.411 -0.018
0.000 -2.270 3.142
0.000 2.269 1.653
3.940 0.012 4.595
3.940 2.496 1.704
0.000 -0.215 4.543
2.165 5.567 1.687
1.775 -3.286 4.561
-2.165 5.567 1.687
6.105 -3.286 4.561
```

Results
ΔE_f (raw) ... -1.031 eV/atom
Final energy ... -81.044 eV/cell
SG ... No. 12